Record 1
DFT (PBE) results for crystalline Tm6CdPb at its relaxed geometry.

Cell lengths 6.9068, 6.9068, 6.8861 Å; angles 103.84, 103.84, 120.33 degrees
With the nearest neighbours (Å) after each atom.
Positions (direct):
Tm 0.0327 0.4550 0.2467  1 Cd 3.06, 1 Pb 3.10
Tm 0.2462 0.2462 0.7551  1 Cd 2.91, 1 Pb 3.01
Tm 0.4550 0.0327 0.2467  1 Cd 3.06, 1 Pb 3.10
Tm 0.5450 0.9673 0.7533  1 Cd 3.06, 1 Pb 3.10
Tm 0.7538 0.7538 0.2449  1 Cd 2.91, 1 Pb 3.01
Tm 0.9673 0.5450 0.7533  1 Cd 3.06, 1 Pb 3.10
Cd 0.0000 0.0000 0.0000  6 Tm 2.91-3.06
Pb 0.5000 0.5000 0.5000  6 Tm 3.01-3.10

Calculated values
- polymorph energy (0 for the lowest one) (meV/atom) = 323
- total magnetic moment (μB per formula unit) = 0.0

***

Record 2
DFT (PBE) results for crystalline Y2H3Pt17 at its relaxed geometry.

Cell lengths 7.0311, 7.0311, 7.0311 Å; angles 83.20, 83.20, 83.20 degrees
With the nearest neighbours (Å) after each atom.
Positions (direct):
Y 0.1637 0.1637 0.1637  3 H 2.70
Y 0.8363 0.8363 0.8363  3 H 2.70
H 0.0000 0.0000 0.5000  2 Pt 1.80
H 0.0000 0.5000 0.0000  2 Pt 1.80
H 0.5000 0.0000 0.0000  2 Pt 1.80
Pt 0.0000 0.5000 0.5000  10 Pt 2.68-2.80
Pt 0.1574 0.1574 0.6660  1 H 2.17
Pt 0.1574 0.6660 0.1574  1 H 2.17
Pt 0.1924 0.5000 0.8076  1 H 1.80
Pt 0.1924 0.8076 0.5000  1 H 1.80
Pt 0.3340 0.8426 0.8426  1 H 2.17
Pt 0.3895 0.3895 0.3895  7 Pt 2.80-2.99, 1 Y 3.06
Pt 0.5000 0.0000 0.5000  10 Pt 2.68-2.80
Pt 0.5000 0.1924 0.8076  1 H 1.80
Pt 0.5000 0.5000 0.0000  10 Pt 2.68-2.80
Pt 0.5000 0.8076 0.1924  1 H 1.80
Pt 0.6105 0.6105 0.6105  7 Pt 2.80-2.99, 1 Y 3.06
Pt 0.6660 0.1574 0.1574  1 H 2.17
Pt 0.8076 0.1924 0.5000  1 H 1.80
Pt 0.8076 0.5000 0.1924  1 H 1.80
Pt 0.8426 0.3340 0.8426  1 H 2.17
Pt 0.8426 0.8426 0.3340  1 H 2.17

Calculated values
- calculated total energy (eV per cell) = -132.93
- total magnetic moment (μB per formula unit) = 0.0

***

Record 3
DFT (PBE) results for crystalline Cd2InSi at its relaxed geometry.

Cell lengths 4.4268, 4.4268, 4.5175 Å; angles 90.00, 90.00, 90.00 degrees
With the nearest neighbours (Å) after each atom.
Positions (direct):
Cd 0.0000 0.5000 0.0000  4 Cd 3.13, 4 In 3.16, 4 Si 3.16
Cd 0.5000 0.0000 0.0000  4 Cd 3.13, 4 In 3.16, 4 Si 3.16
In 0.0000 0.0000 0.5000  4 Si 3.13, 8 Cd 3.16
Si 0.5000 0.5000 0.5000  4 In 3.13, 8 Cd 3.16

Calculated values
- polymorph energy (0 for the lowest one) (meV/atom) = 39
- formation energy without anion corrections (eV/atom) = 0.289
- total magnetic moment (μB per formula unit) = 0.0

***

Record 4
DFT (PBE) results for crystalline Y2InAg at its relaxed geometry.

Cell lengths 3.6362, 3.6653, 7.6657 Å; angles 90.00, 90.00, 90.00 degrees
With the nearest neighbours (Å) after each atom.
Positions (direct):
Y 0.0000 0.0000 0.2368  4 Ag 3.16, 4 In 3.28
Y 0.0000 0.0000 0.7632  4 Ag 3.16, 4 In 3.28
In 0.5000 0.5000 0.5000  8 Y 3.28, 4 In 3.64-3.67
Ag 0.5000 0.5000 0.0000  8 Y 3.16

Calculated values
- calculated total energy (eV per cell) = -20.22
- total magnetic moment (μB per formula unit) = 0.0

***

Record 5
DFT (PBE) results for crystalline PmSmCuSn at its relaxed geometry.

Cell lengths 5.2699, 5.2699, 5.2699 Å; angles 60.00, 60.00, 60.00 degrees
With the nearest neighbours (Å) after each atom.
Positions (direct):
Pm 0.0000 0.0000 0.0000  4 Sn 3.23, 4 Cu 3.23
Sm 0.5000 0.5000 0.5000  4 Sn 3.23, 4 Cu 3.23
Cu 0.2500 0.2500 0.2500  4 Sm 3.23, 4 Pm 3.23
Sn 0.7500 0.7500 0.7500  4 Sm 3.23, 4 Pm 3.23

Calculated values
- calculated total energy (eV per cell) = -19.27
- total magnetic moment (μB per formula unit) = 0.0

***

Record 6
DFT (PBE) results for crystalline NiHg2P at its relaxed geometry.

Cell lengths 5.2276, 5.2276, 5.2276 Å; angles 134.58, 134.58, 66.18 degrees
With the nearest neighbours (Å) after each atom.
Positions (direct):
Ni 0.0000 0.0000 0.0000  8 Hg 2.85-2.98, 4 P 2.98
Hg 0.5000 0.5000 0.0000  4 Ni 2.85, 4 Hg 2.98, 4 P 2.98
Hg 0.7500 0.2500 0.5000  4 P 2.85, 4 Hg 2.98, 4 Ni 2.98
P 0.2500 0.7500 0.5000  8 Hg 2.85-2.98, 4 Ni 2.98

Calculated values
- calculated total energy (eV per cell) = -9.78
- total magnetic moment (μB per formula unit) = 0.0

***

Record 7
DFT (PBE) results for crystalline CaCuGeAu6 at its relaxed geometry.

Cell lengths 7.9993, 7.9993, 7.9993 Å; angles 124.98, 111.50, 93.45 degrees
With the nearest neighbours (Å) after each atom.
Positions (direct):
Ca 0.4597 0.2097 0.2500  10 Au 3.16-3.30, 2 Ge 3.22
Ca 0.5403 0.7903 0.7500  10 Au 3.16-3.30, 2 Ge 3.22
Cu 0.0000 0.0000 0.5000  6 Au 2.54-2.68
Cu 0.0000 0.5000 0.0000  6 Au 2.54-2.68
Ge 0.0000 0.0000 0.0000  6 Au 2.46-2.69
Ge 0.5000 0.0000 0.5000  6 Au 2.46-2.69
Au 0.1340 0.4378 0.3124  1 Cu 2.68, 1 Ge 2.69, 4 Au 2.77-2.99
Au 0.1340 0.8216 0.6962  1 Cu 2.68, 1 Ge 2.69, 4 Au 2.77-2.99
Au 0.1584 0.9084 0.2500  2 Ge 2.46, 2 Cu 2.54
Au 0.2503 0.5003 0.7500  8 Au 2.99-3.05, 1 Ca 3.18, 2 Cu 3.31
Au 0.3746 0.1784 0.8124  1 Cu 2.68, 1 Ge 2.69, 4 Au 2.77-2.99
Au 0.3746 0.5622 0.1962  1 Cu 2.68, 1 Ge 2.69, 4 Au 2.77-2.99
Au 0.6254 0.4378 0.8038  1 Cu 2.68, 1 Ge 2.69, 4 Au 2.77-2.99
Au 0.6254 0.8216 0.1876  1 Cu 2.68, 1 Ge 2.69, 4 Au 2.77-2.99
Au 0.7497 0.4997 0.2500  8 Au 2.99-3.05, 1 Ca 3.18, 2 Cu 3.31
Au 0.8416 0.0916 0.7500  2 Ge 2.46, 2 Cu 2.54
Au 0.8660 0.1784 0.3038  1 Cu 2.68, 1 Ge 2.69, 4 Au 2.77-2.99
Au 0.8660 0.5622 0.6876  1 Cu 2.68, 1 Ge 2.69, 4 Au 2.77-2.99

Calculated values
- calculated total energy (eV per cell) = -63.27
- total magnetic moment (μB per formula unit) = 0.0

***

Record 8
DFT (PBE) results for crystalline Ho3Mg7Al2 at its relaxed geometry.

Cell lengths 10.0836, 10.0836, 10.0836 Å; angles 34.11, 34.11, 34.11 degrees
With the nearest neighbours (Å) after each atom.
Positions (direct):
Ho 0.0000 0.0000 0.0000  6 Al 3.42, 12 Mg 3.75
Ho 0.1451 0.1451 0.1451  12 Mg 3.47-3.49, 3 Ho 3.63
Ho 0.8549 0.8549 0.8549  12 Mg 3.47-3.49, 3 Ho 3.63
Mg 0.0760 0.5832 0.5832  2 Al 2.86-2.87, 5 Mg 2.92-3.00
Mg 0.4168 0.4168 0.9240  2 Al 2.86-2.87, 5 Mg 2.92-3.00
Mg 0.4168 0.9240 0.4168  2 Al 2.86-2.87, 5 Mg 2.92-3.00
Mg 0.5000 0.5000 0.5000  6 Mg 3.00
Mg 0.5832 0.0760 0.5832  2 Al 2.86-2.87, 5 Mg 2.92-3.00
Mg 0.5832 0.5832 0.0760  2 Al 2.86-2.87, 5 Mg 2.92-3.00
Mg 0.9240 0.4168 0.4168  2 Al 2.86-2.87, 5 Mg 2.92-3.00
Al 0.3342 0.3342 0.3342  6 Mg 2.86-2.87
Al 0.6658 0.6658 0.6658  6 Mg 2.86-2.87

Calculated values
- calculated total energy (eV per cell) = -33.26
- total magnetic moment (μB per formula unit) = 0.0

***

Record 9
DFT (PBE) results for crystalline Cs4K7Rb3 at its relaxed geometry.

Cell lengths 12.4871, 12.4871, 16.7937 Å; angles 126.64, 126.64, 36.82 degrees
With the nearest neighbours (Å) after each atom.
Positions (direct):
Cs 0.0767 0.0767 0.2878  6 K 4.70-4.91, 2 Rb 4.86
Cs 0.2190 0.2190 0.8575  5 K 4.78-5.00, 3 Rb 4.93-5.03
Cs 0.7810 0.7810 0.1425  5 K 4.78-5.00, 3 Rb 4.93-5.03
Cs 0.9233 0.9233 0.7122  6 K 4.70-4.91, 2 Rb 4.86
K 0.0000 0.0000 0.5000  4 K 4.88, 4 Cs 4.88-4.91, 4 Rb 5.43
K 0.1415 0.1415 0.0738  5 Cs 4.71-5.00, 1 K 4.76, 2 Rb 4.81
K 0.2813 0.2813 0.6367  4 Cs 4.70-4.81, 3 K 4.75-4.81, 1 Rb 4.93
K 0.3528 0.3528 0.4247  2 Rb 4.69-4.73, 6 K 4.75-4.88
K 0.6472 0.6472 0.5753  2 Rb 4.69-4.73, 6 K 4.75-4.88
K 0.7187 0.7187 0.3633  4 Cs 4.70-4.81, 3 K 4.75-4.81, 1 Rb 4.93
K 0.8585 0.8585 0.9262  5 Cs 4.71-5.00, 1 K 4.76, 2 Rb 4.81
Rb 0.4360 0.4360 0.2323  2 K 4.69-4.73, 5 Cs 4.86-5.03, 1 Rb 5.00
Rb 0.5000 0.5000 0.0000  6 K 4.81-4.93, 2 Rb 5.00
Rb 0.5640 0.5640 0.7677  2 K 4.69-4.73, 5 Cs 4.86-5.03, 1 Rb 5.00

Calculated values
- calculated total energy (eV per cell) = -13.86
- total magnetic moment (μB per formula unit) = 0.0

***

Record 10
DFT (PBE) results for crystalline Ac3F8 at its relaxed geometry.

Cell lengths 6.1017, 6.1017, 6.1017 Å; angles 90.00, 90.00, 90.00 degrees
With the nearest neighbours (Å) after each atom.
Positions (direct):
Ac 0.0000 0.0000 0.5000  8 F 2.57
Ac 0.0000 0.5000 0.0000  8 F 2.57
Ac 0.5000 0.0000 0.0000  8 F 2.57
F 0.2252 0.2252 0.2252  3 Ac 2.57, 3 F 2.75
F 0.2252 0.2252 0.7748  3 Ac 2.57, 3 F 2.75
F 0.2252 0.7748 0.2252  3 Ac 2.57, 3 F 2.75
F 0.2252 0.7748 0.7748  3 Ac 2.57, 3 F 2.75
F 0.7748 0.2252 0.2252  3 Ac 2.57, 3 F 2.75
F 0.7748 0.2252 0.7748  3 Ac 2.57, 3 F 2.75
F 0.7748 0.7748 0.2252  3 Ac 2.57, 3 F 2.75
F 0.7748 0.7748 0.7748  3 Ac 2.57, 3 F 2.75

Calculated values
- formation energy without anion corrections (eV/atom) = -3.938
- total magnetic moment (μB per formula unit) = 0.7

***

Record 11
DFT (PBE) results for crystalline TaNbIr2 at its relaxed geometry.

Cell lengths 6.9809, 6.9809, 6.9809 Å; angles 130.23, 130.23, 73.03 degrees
With the nearest neighbours (Å) after each atom.
Positions (direct):
Ta 0.0000 0.0000 0.0000  4 Ir 2.50
Ta 0.7500 0.2500 0.5000  4 Ir 2.50
Nb 0.2500 0.7500 0.5000  4 Ir 2.51
Nb 0.5000 0.5000 0.0000  4 Ir 2.51
Ir 0.1242 0.6250 0.9992  2 Ta 2.50, 2 Nb 2.51
Ir 0.3750 0.3742 0.4992  2 Ta 2.50, 2 Nb 2.51
Ir 0.6258 0.1250 0.0008  2 Ta 2.50, 2 Nb 2.51
Ir 0.8750 0.8758 0.5008  2 Ta 2.50, 2 Nb 2.51

Calculated values
- polymorph energy (0 for the lowest one) (meV/atom) = 1106
- total magnetic moment (μB per formula unit) = 0.0

***

Record 12
DFT (PBE) results for crystalline CeHf2Sb at its relaxed geometry.

Cell lengths 4.6349, 4.6349, 4.2882 Å; angles 90.00, 90.00, 90.00 degrees
With the nearest neighbours (Å) after each atom.
Positions (direct):
Ce 0.0000 0.0000 0.0000  8 Hf 3.16, 4 Sb 3.28
Hf 0.0000 0.5000 0.5000  4 Ce 3.16, 4 Sb 3.16, 4 Hf 3.28
Hf 0.5000 0.0000 0.5000  4 Ce 3.16, 4 Sb 3.16, 4 Hf 3.28
Sb 0.5000 0.5000 0.0000  8 Hf 3.16, 4 Ce 3.28

Calculated values
- formation energy without anion corrections (eV/atom) = -0.263
- total magnetic moment (μB per formula unit) = 0.0

***

Record 13
DFT (PBE) results for crystalline CuOsSeN2 at its relaxed geometry.

Cell lengths 3.7434, 3.7434, 5.5675 Å; angles 90.00, 90.00, 90.00 degrees
With the nearest neighbours (Å) after each atom.
Positions (direct):
Cu 0.0000 0.0000 0.0000  4 Se 2.65
Os 0.5000 0.5000 0.5000  4 N 1.87
Se 0.5000 0.5000 0.0000  4 Cu 2.65, 2 Os 2.78
N 0.0000 0.5000 0.5000  2 Os 1.87
N 0.5000 0.0000 0.5000  2 Os 1.87

Calculated values
- polymorph energy (0 for the lowest one) (meV/atom) = 0
- formation energy without anion corrections (eV/atom) = 0.629
- total magnetic moment (μB per formula unit) = 0.3

***

Record 14
DFT (PBE) results for crystalline MnReBr2 at its relaxed geometry.

Cell lengths 3.0812, 3.0812, 8.8107 Å; angles 90.00, 90.00, 90.00 degrees
With the nearest neighbours (Å) after each atom.
Positions (direct):
Mn 0.0000 0.0000 0.0000  4 Re 2.64, 4 Br 2.79
Re 0.5000 0.5000 0.1702  4 Mn 2.64, 4 Br 2.84
Br 0.0000 0.0000 0.3770  4 Re 2.84, 4 Br 3.08
Br 0.5000 0.5000 0.8017  4 Mn 2.79, 4 Br 3.08

Calculated values
- polymorph energy (0 for the lowest one) (meV/atom) = 198
- formation energy without anion corrections (eV/atom) = 0.407
- total magnetic moment (μB per formula unit) = 1.8

***

Record 15
DFT (PBE) results for crystalline K2Rb2Tl3 at its relaxed geometry.

Cell lengths 7.8162, 7.8162, 9.0049 Å; angles 122.14, 122.14, 48.10 degrees
With the nearest neighbours (Å) after each atom.
Positions (direct):
K 0.1506 0.1506 0.0126  5 Tl 3.75-3.97, 1 K 4.17
K 0.8494 0.8494 0.9874  5 Tl 3.75-3.97, 1 K 4.17
Rb 0.1734 0.1734 0.5554  6 Tl 3.97-4.44, 3 Rb 4.30-4.44, 1 K 4.31
Rb 0.8266 0.8266 0.4446  6 Tl 3.97-4.44, 3 Rb 4.30-4.44, 1 K 4.31
Tl 0.4739 0.4739 0.3109  2 Tl 3.03
Tl 0.5000 0.5000 0.0000  2 Tl 3.03
Tl 0.5261 0.5261 0.6891  2 Tl 3.03

Calculated values
- calculated total energy (eV per cell) = -11.71
- total magnetic moment (μB per formula unit) = 0.0

***

Record 16
DFT (PBE) results for crystalline KAl2Rh at its relaxed geometry.

Cell lengths 5.2019, 5.2019, 2.9698 Å; angles 90.00, 90.00, 109.78 degrees
With the nearest neighbours (Å) after each atom.
Positions (direct):
K 0.0000 0.0000 0.0000  2 K 2.97, 2 Rh 2.99, 8 Al 2.99
Al 0.0000 0.5000 0.5000  4 Al 2.97-2.99, 4 K 2.99, 4 Rh 2.99
Al 0.5000 0.0000 0.5000  4 Al 2.97-2.99, 4 Rh 2.99, 4 K 2.99
Rh 0.5000 0.5000 0.0000  2 Rh 2.97, 2 K 2.99, 8 Al 2.99

Calculated values
- polymorph energy (0 for the lowest one) (meV/atom) = 804
- total magnetic moment (μB per formula unit) = 0.0

***

Record 17
DFT (PBE) results for crystalline LiCdN at its relaxed geometry.

Cell lengths 3.6897, 3.6897, 4.0926 Å; angles 90.00, 90.00, 120.00 degrees
With the nearest neighbours (Å) after each atom.
Positions (direct):
Li 0.0000 0.0000 0.0000  3 N 2.13
Cd 0.6667 0.3333 0.5000  2 N 2.05
N 0.6667 0.3333 0.0000  2 Cd 2.05, 3 Li 2.13

Calculated values
- formation energy without anion corrections (eV/atom) = 0.271
- total magnetic moment (μB per formula unit) = 0.0

***

Record 18
DFT (PBE) results for crystalline Cd3MoRu at its relaxed geometry.

Cell lengths 5.2282, 5.2282, 5.2282 Å; angles 90.00, 90.00, 90.00 degrees
With the nearest neighbours (Å) after each atom.
Positions (direct):
Cd 0.0000 0.0000 0.5000  2 Mo 2.61
Cd 0.0000 0.5000 0.0000  2 Mo 2.61
Cd 0.5000 0.0000 0.0000  2 Mo 2.61
Mo 0.0000 0.0000 0.0000  6 Cd 2.61
Ru 0.5000 0.5000 0.5000  12 Cd 3.70

Calculated values
- polymorph energy (0 for the lowest one) (meV/atom) = 479
- total magnetic moment (μB per formula unit) = 4.5

***

Record 19
DFT (PBE) results for crystalline BaAlTe3 at its relaxed geometry.

Cell lengths 7.6462, 7.6462, 7.3836 Å; angles 100.67, 100.67, 52.93 degrees
With the nearest neighbours (Å) after each atom.
Positions (direct):
Ba 0.1575 0.1575 0.2428  9 Te 3.48-3.87
Ba 0.8425 0.8425 0.7572  9 Te 3.48-3.87
Al 0.5000 0.5000 0.0000  6 Te 2.80-2.93
Al 0.5000 0.5000 0.5000  6 Te 2.68-2.93
Te 0.1467 0.6517 0.1974  2 Al 2.80-2.93
Te 0.3423 0.3423 0.6640  2 Al 2.68-2.93
Te 0.3483 0.8533 0.8026  2 Al 2.80-2.93
Te 0.6517 0.1467 0.1974  2 Al 2.80-2.93
Te 0.6577 0.6577 0.3360  2 Al 2.68-2.93
Te 0.8533 0.3483 0.8026  2 Al 2.80-2.93

Calculated values
- polymorph energy (0 for the lowest one) (meV/atom) = 0
- formation energy without anion corrections (eV/atom) = -0.843
- total magnetic moment (μB per formula unit) = 0.0

***

Record 20
DFT (PBE) results for crystalline InPPbS2 at its relaxed geometry.

Cell lengths 5.2280, 5.2280, 5.2687 Å; angles 90.00, 90.00, 90.00 degrees
With the nearest neighbours (Å) after each atom.
Positions (direct):
In 0.0000 0.0000 0.0000  4 P 3.70, 8 S 3.71
P 0.5000 0.5000 0.0000  2 Pb 2.63
Pb 0.5000 0.5000 0.5000  4 S 2.61, 2 P 2.63
S 0.0000 0.5000 0.5000  2 Pb 2.61
S 0.5000 0.0000 0.5000  2 Pb 2.61

Calculated values
- polymorph energy (0 for the lowest one) (meV/atom) = 270
- formation energy without anion corrections (eV/atom) = 0.613
- total magnetic moment (μB per formula unit) = 1.8